First-principles (GGA-PBE) data for a relaxed structure of Na2ThPaSb4, as listed in Alexandria via LeMat-Bulk.

Values from the calculation:
V ... 32.77 A^3/atom
ΔE_f (raw) ... -447 meV per atom
Space-group type ... No. 10

Structure (extended XYZ):
```
8
Lattice="7.6124 0.0000 0.0000 0.0000 4.6198 0.0000 -2.8174 0.0000 7.4549" Properties=species:S:1:pos:R:3 pbc="T T T"
Na 0.0000 0.0000 0.0000
Na -1.4087 2.3099 3.7274
Th 2.3975 0.0000 3.7274
Pa 3.8062 2.3099 0.0000
Sb 1.3568 2.3099 1.8382
Sb -0.0626 0.0000 5.7236
Sb 4.8576 0.0000 1.7313
Sb 3.4383 2.3099 5.6166
```

***

First-principles (GGA-PBE) data for a relaxed structure of La6SmHo12, as listed in Alexandria via LeMat-Bulk.

Values from the calculation:
V ... 33.54 A^3/atom
ΔH_f (0 K) ... 0.126 eV per atom
Space-group type ... No. 166

Structure (extended XYZ):
```
19
Lattice="5.5753 3.2189 5.9179 -5.5753 3.2189 5.9179 0.0000 -6.4379 5.9179" Properties=species:S:1:pos:R:3 pbc="T T T"
La 0.0000 -2.5542 7.1115
La -2.2120 1.2771 7.1115
La -2.2120 -1.2771 10.6423
La 2.2120 1.2771 7.1115
La 2.2120 -1.2771 10.6423
La 0.0000 2.5542 10.6423
Sm 0.0000 0.0000 8.8769
Ho 0.0000 -4.3912 4.2734
Ho -3.8029 2.1956 4.2734
Ho -1.9091 -1.1022 4.3716
Ho -3.8029 -2.1956 13.4804
Ho 1.9091 -1.1022 4.3716
Ho 0.0000 2.2044 4.3716
Ho 0.0000 -2.2044 13.3822
Ho -1.9091 1.1022 13.3822
Ho 3.8029 2.1956 4.2734
Ho 1.9091 1.1022 13.3822
Ho 3.8029 -2.1956 13.4804
Ho 0.0000 4.3912 13.4804
```

***

First-principles (GGA-PBE) data for a relaxed structure of CsCd3Fe, as listed in Alexandria via LeMat-Bulk.

Values from the calculation:
V ... 71.01 A^3/atom
ΔH_f (0 K) ... 1.310 eV per atom
Space-group type ... No. 221

Structure (extended XYZ):
```
5
Lattice="7.0811 0.0000 0.0000 0.0000 7.0811 0.0000 0.0000 0.0000 7.0811" Properties=species:S:1:pos:R:3 pbc="T T T"
Cs 0.0000 0.0000 0.0000
Cd 0.0000 0.0000 3.5405
Cd 0.0000 3.5405 0.0000
Cd 3.5405 0.0000 0.0000
Fe 3.5405 3.5405 3.5405
```

***

First-principles (GGA-PBE) data for a relaxed structure of NpZn11Ga, as listed in Alexandria via LeMat-Bulk.

Values from the calculation:
V ... 16.05 A^3/atom
ΔH_f (0 K) ... -0.038 eV per atom
Space-group type ... No. 12

Structure (extended XYZ):
```
13
Lattice="2.6398 -6.3126 0.0000 2.6398 6.3126 0.0000 -2.6156 0.0000 6.2621" Properties=species:S:1:pos:R:3 pbc="T T T"
Np 0.0000 0.0000 0.0000
Zn 1.3199 3.1563 0.0000
Zn 0.0430 2.2473 2.2069
Zn 0.0440 1.3674 4.9248
Zn 0.0430 -2.2473 2.2069
Zn 2.6200 1.3674 1.3373
Zn 1.3199 -3.1563 0.0000
Zn 1.3320 0.0000 3.1311
Zn 0.0440 -1.3674 4.9248
Zn 2.6209 2.2473 4.0552
Zn 2.6200 -1.3674 1.3373
Zn 2.6209 -2.2473 4.0552
Ga -1.3078 0.0000 3.1311
```

***

Density of states at the Fermi level (states/eV/f.u.)
7.22; 29.33; 12.62; 10.26